An optimized crystal structure of BeNiRh2, computed with GGA-PBE.

The space group is R-3m (No. 166, hexagonal axes) and the conventional cell measures 2.6918, 2.6918 and 23.4402 Å, with angles of 90.00, 90.00 and 120.00 degrees. The inequivalent atoms are Be at (0.0000, 0.0000, 0.0000), Ni at (0.0000, 0.0000, 0.5000) and Rh at (0.0000, 0.0000, 0.2567).

For the calculated density, the calculation gives 9.26 g/cm³. The size of the total moment comes out at 1.94 μB/f.u. The calculation puts the final energy at -6.17 eV/atom. For the formation enthalpy at 0 K, the calculation gives -0.116 eV per atom.